Entry from the Alexandria database: a relaxed structure of Nd6TlPt2 (PBE).

Structure (CIF):
```
data_Nd6TlPt2
_chemical_formula_sum 'Nd24 Tl4 Pt8'
_cell_length_a 9.644
_cell_length_b 10.205
_cell_length_c 10.908
_cell_angle_alpha 90.00
_cell_angle_beta 90.00
_cell_angle_gamma 90.00
_symmetry_space_group_name_H-M 'I m m m'
_symmetry_Int_Tables_number 71
_symmetry_space_group_name_Hall '-I 2 2'
loop_
_atom_site_label
_atom_site_type_symbol
_atom_site_fract_x
_atom_site_fract_y
_atom_site_fract_z
Nd1 Nd 0.000 0.200 0.234
Nd2 Nd 0.194 0.500 0.172
Nd3 Nd 0.207 0.318 0.500
Tl1 Tl 0.000 0.000 0.000
Tl2 Tl 0.000 0.000 0.500
Pt1 Pt 0.000 0.346 0.000
Pt2 Pt 0.000 0.500 0.369
```

Properties
The value obtained for the energy above the most stable polymorph in this dataset is 0.0 meV/atom. For the total moment, the calculation gives 0.000 Bohr magnetons per cell. The formation energy is -618 meV/atom. The value obtained for the total energy is -5.40 eV/atom.